The following is a DFT calculation (PBE) of an optimized crystal structure of CdCoCuB.

Total moment (μB/f.u.): 0.61
Energy (hartree per atom): -0.141
Symmetry: F-43m, No. 216

Unit cell a=4.1072 b=4.1072 c=4.1072 alpha=60.00 beta=60.00 gamma=60.00
Sites, in units of the cell vectors:
Co  0.7500  0.7500  0.7500
B  0.0000  0.0000  0.0000
Cd  0.5000  0.5000  0.5000
Cu  0.2500  0.2500  0.2500

***

The following is a DFT calculation (PBE) of an optimized crystal structure of CdFeCoB.

Total moment (μB/f.u.): 3.88
Energy (hartree per atom): -0.184
Symmetry: F-43m, No. 216

Unit cell a=4.0987 b=4.0987 c=4.0987 alpha=60.00 beta=60.00 gamma=60.00
Sites, in units of the cell vectors:
Co  0.5000  0.5000  0.5000
Cd  0.2500  0.2500  0.2500
B  0.0000  0.0000  0.0000
Fe  0.7500  0.7500  0.7500

***

The following is a DFT calculation (PBE) of an optimized crystal structure of CdCoHgB.

Total moment (μB/f.u.): 1.20
Energy (hartree per atom): -0.096
Symmetry: F-43m, No. 216

Unit cell a=4.4402 b=4.4402 c=4.4402 alpha=60.00 beta=60.00 gamma=60.00
Sites, in units of the cell vectors:
B  0.0000  0.0000  0.0000
Hg  0.2500  0.2500  0.2500
Co  0.7500  0.7500  0.7500
Cd  0.5000  0.5000  0.5000

***

The following is a DFT calculation (PBE) of an optimized crystal structure of CdCoHgB.

Total moment (μB/f.u.): 0.96
Energy (hartree per atom): -0.098
Symmetry: F-43m, No. 216

Unit cell a=4.4325 b=4.4325 c=4.4325 alpha=60.00 beta=60.00 gamma=60.00
Sites, in units of the cell vectors:
Cd  0.2500  0.2500  0.2500
Co  0.7500  0.7500  0.7500
B  0.0000  0.0000  0.0000
Hg  0.5000  0.5000  0.5000

***

The following is a DFT calculation (PBE) of an optimized crystal structure of MgCdCoB.

Total moment (μB/f.u.): 0.04
Energy (hartree per atom): -0.124
Symmetry: F-43m, No. 216

Unit cell a=4.2379 b=4.2379 c=4.2379 alpha=60.00 beta=60.00 gamma=60.00
Sites, in units of the cell vectors:
B  0.0000  0.0000  0.0000
Cd  0.5000  0.5000  0.5000
Mg  0.2500  0.2500  0.2500
Co  0.7500  0.7500  0.7500

***

The following is a DFT calculation (PBE) of an optimized crystal structure of NbCdCoB.

Total moment (μB/f.u.): 0.02
Energy (hartree per atom): -0.195
Symmetry: F-43m, No. 216

Unit cell a=4.2808 b=4.2808 c=4.2808 alpha=60.00 beta=60.00 gamma=60.00
Sites, in units of the cell vectors:
Co  0.7500  0.7500  0.7500
Nb  0.5000  0.5000  0.5000
Cd  0.2500  0.2500  0.2500
B  0.0000  0.0000  0.0000

***

The following is a DFT calculation (PBE) of an optimized crystal structure of NbCdCoB.

Total moment (μB/f.u.): 1.29
Energy (hartree per atom): -0.200
Symmetry: F-43m, No. 216

Unit cell a=4.2740 b=4.2740 c=4.2740 alpha=60.00 beta=60.00 gamma=60.00
Sites, in units of the cell vectors:
Nb  0.2500  0.2500  0.2500
Co  0.7500  0.7500  0.7500
B  0.0000  0.0000  0.0000
Cd  0.5000  0.5000  0.5000

***

The following is a DFT calculation (PBE) of an optimized crystal structure of CdCoNiB.

Total moment (μB/f.u.): 0.50
Energy (hartree per atom): -0.163
Symmetry: F-43m, No. 216

Unit cell a=4.0516 b=4.0516 c=4.0516 alpha=60.00 beta=60.00 gamma=60.00
Sites, in units of the cell vectors:
B  0.0000  0.0000  0.0000
Ni  0.2500  0.2500  0.2500
Co  0.7500  0.7500  0.7500
Cd  0.5000  0.5000  0.5000

***

The following is a DFT calculation (PBE) of an optimized crystal structure of CdCoNiB.

Total moment (μB/f.u.): 0.82
Energy (hartree per atom): -0.161
Symmetry: F-43m, No. 216

Unit cell a=4.0653 b=4.0653 c=4.0653 alpha=60.00 beta=60.00 gamma=60.00
Sites, in units of the cell vectors:
Ni  0.5000  0.5000  0.5000
Cd  0.2500  0.2500  0.2500
B  0.0000  0.0000  0.0000
Co  0.7500  0.7500  0.7500

***

The following is a DFT calculation (PBE) of an optimized crystal structure of CdCoBOs.

Total moment (μB/f.u.): 0.83
Energy (hartree per atom): -0.201
Symmetry: F-43m, No. 216

Unit cell a=4.1711 b=4.1711 c=4.1711 alpha=60.00 beta=60.00 gamma=60.00
Sites, in units of the cell vectors:
Co  0.7500  0.7500  0.7500
Os  0.2500  0.2500  0.2500
B  0.0000  0.0000  0.0000
Cd  0.5000  0.5000  0.5000

***

The following is a DFT calculation (PBE) of an optimized crystal structure of CdCoBPd.

Total moment (μB/f.u.): 0.59
Energy (hartree per atom): -0.160
Symmetry: F-43m, No. 216

Unit cell a=4.2052 b=4.2052 c=4.2052 alpha=60.00 beta=60.00 gamma=60.00
Sites, in units of the cell vectors:
Co  0.7500  0.7500  0.7500
Pd  0.2500  0.2500  0.2500
Cd  0.5000  0.5000  0.5000
B  0.0000  0.0000  0.0000

***

The following is a DFT calculation (PBE) of an optimized crystal structure of CdCoTcB.

Total moment (μB/f.u.): 1.52
Energy (hartree per atom): -0.198
Symmetry: F-43m, No. 216

Unit cell a=4.1773 b=4.1773 c=4.1773 alpha=60.00 beta=60.00 gamma=60.00
Sites, in units of the cell vectors:
Cd  0.5000  0.5000  0.5000
Tc  0.2500  0.2500  0.2500
Co  0.7500  0.7500  0.7500
B  0.0000  0.0000  0.0000

***

- Look up the total moment of the fourth one.
  0.96 μB/f.u.